Record 1
{"formula": "AcPm2TmS6", "functional": "PBE", "state": "optimized geometry", "lattice_angstrom": [[7.167, 0.000, 0.001], [3.584, 6.207, 0.000], [3.584, 2.069, 6.297]], "species": ["Tm", "S", "S", "S", "S", "S", "S", "Ac", "Pm", "Pm"], "fractional_positions": [[0.318, 0.318, 0.046], [0.146, 0.389, 0.753], [0.712, 0.146, 0.753], [0.219, 0.931, 0.247], [0.603, 0.219, 0.247], [0.389, 0.712, 0.753], [0.931, 0.603, 0.247], [0.806, 0.806, 0.583], [0.523, 0.523, 0.431], [0.015, 0.015, 0.955]], "formation_energy_uncorrected_mev_per_atom": -2048.5}

Record 2
{"formula": "Ho2P3Pd3", "functional": "PBE", "state": "optimized geometry", "lattice_angstrom": [[7.858, 0.000, 0.000], [0.000, 5.926, 3.421], [0.000, 0.000, 6.842]], "species": ["P", "P", "P", "P", "P", "P", "Ho", "Ho", "Ho", "Ho", "Pd", "Pd", "Pd", "Pd", "Pd", "Pd"], "fractional_positions": [[0.750, 0.386, 0.000], [0.250, 0.614, 0.000], [0.250, 0.386, 0.614], [0.750, 0.614, 0.386], [0.750, 0.000, 0.614], [0.250, 0.000, 0.386], [0.000, 0.333, 0.333], [0.500, 0.333, 0.333], [0.500, 0.667, 0.667], [0.000, 0.667, 0.667], [0.250, 0.267, 0.000], [0.750, 0.267, 0.733], [0.750, 0.733, 0.000], [0.250, 0.000, 0.733], [0.250, 0.733, 0.267], [0.750, 0.000, 0.267]], "delta_e_f_ev_per_atom": -0.98}

Record 3
{"formula": "CaY2Ge2", "functional": "PBE", "state": "optimized geometry", "lattice_angstrom": [[4.711, 0.000, 0.000], [0.000, 4.711, 0.000], [2.355, 2.355, 6.188]], "species": ["Ge", "Ge", "Y", "Y", "Ca"], "fractional_positions": [[0.604, 0.604, 0.791], [0.396, 0.396, 0.209], [0.250, 0.750, 0.500], [0.750, 0.250, 0.500], [0.000, 0.000, 0.000]], "delta_e_f_ev_per_atom": -0.49, "polymorph_energy_mev_per_atom": 187}